Here is MnAg3I6 after structural relaxation from the Alexandria database. Energies are from PBE.

## Properties
Its uncorrected formation energy is -214.2 meV per atom. As for the symmetry: R-3, No. 148.

Cell: 9.0647 9.0647 9.0647 Å, 91.34 91.34 91.34°
Each line ends with the local moment (μB).
Positions (direct):
Mn (0.0000, 0.0000, 0.0000)  3.47
Mn (0.5000, 0.5000, 0.5000)  4.24
Ag (0.5942, 0.8692, 0.7219)  0.00
Ag (0.8692, 0.7219, 0.5942)  0.00
Ag (0.2781, 0.4058, 0.1308)  0.00
Ag (0.7219, 0.5942, 0.8692)  0.00
Ag (0.1308, 0.2781, 0.4058)  0.00
Ag (0.4058, 0.1308, 0.2781)  0.00
I (0.2951, 0.9540, 0.0515)  -0.06
I (0.0460, 0.9485, 0.7049)  -0.06
I (0.6028, 0.7948, 0.4220)  0.01
I (0.9485, 0.7049, 0.0460)  -0.06
I (0.4220, 0.6028, 0.7948)  0.01
I (0.2052, 0.5780, 0.3972)  0.01
I (0.7948, 0.4220, 0.6028)  0.01
I (0.5780, 0.3972, 0.2052)  0.01
I (0.0515, 0.2951, 0.9540)  -0.06
I (0.3972, 0.2052, 0.5780)  0.01
I (0.9540, 0.0515, 0.2951)  -0.06
I (0.7049, 0.0460, 0.9485)  -0.06

Here is NpScSb2 after structural relaxation from the Alexandria database. Energies are from PBE.

## Properties
Its uncorrected formation energy is -561.0 meV per atom. As for the symmetry: R-3m, No. 166.

Cell: 4.2753 4.2753 7.4242 Å, 73.27 73.27 60.00°
Each line ends with the local moment (μB).
Positions (direct):
Np (0.5000, 0.5000, 0.5000)  -3.87
Sb (0.7446, 0.7446, 0.7661)  0.07
Sb (0.2554, 0.2554, 0.2339)  0.07
Sc (0.0000, 0.0000, 0.0000)  0.02

Here is HgOs2Ru after structural relaxation from the Alexandria database. Energies are from PBE.

## Properties
For the calculated formation energy, the calculation gives 0.44 eV/atom. As for the symmetry: P4mm, No. 99.

Cell: 2.8107 2.8107 7.9727 Å, 90.00 90.00 90.00°
Positions (direct):
Hg (0.5000, 0.5000, 0.7476)
Os (0.0000, 0.0000, 0.0283)
Os (0.5000, 0.5000, 0.2490)
Ru (0.0000, 0.0000, 0.4751)

no.,magnetization (μB per formula unit)
1,4.0
2,3.9
3,0.0